# AcCeAg2

AcCeAg2 after structural relaxation (PBE-GGA, the Alexandria database).

Summary:
The calculation puts the density of states at the Fermi level at 2.2713 states/eV/atom. For the total energy, the calculation gives -3.8880 eV/atom. The energy above the most stable polymorph in this dataset comes out at 186 meV per atom. The formation energy is 0.048 eV per atom. The theoretical density is 7598 kg/m3.

Cell lengths 4.1801, 4.1801, 25.2518 Å; angles 90.00, 90.00, 120.00 degrees
Space group R-3m (No. 166, hexagonal axes)
Symmetry-distinct sites (fractional):
Ac  0.0000  0.0000  0.0000 (multiplicity 3)
Ce  0.0000  0.0000  0.5000 (multiplicity 3)
Ag  0.0000  0.0000  0.2460 (multiplicity 6)